FeSi3I (PBE, relaxed); formation energy from raw total energies = 0.25 eV/atom; density of states at the Fermi level = 0.38 states/eV/atom; magnetization = 0.0 μB/cell
1.0
-0.297 3.065 -3.293
-3.798 1.597 1.830
2.411 2.895 2.477
Si Fe I
3 1 1
Direct
0.500 0.000 0.000 Si
0.000 0.500 0.000 Si
0.000 0.000 0.500 Si
0.000 0.000 0.000 Fe
0.500 0.500 0.500 I

***

Fe3SiI (PBE, relaxed); formation energy from raw total energies = 0.82 eV/atom; density of states at the Fermi level = 1.06 states/eV/atom; ΔE to the lowest computed polymorph = 0 meV per atom; magnetization = 5.9 μB/cell
1.0
-0.779 -3.597 2.412
3.925 -1.622 -1.151
1.830 1.947 3.495
I Fe Si
1 3 1
Direct
0.500 0.500 0.500 I
0.500 0.000 0.000 Fe
0.000 0.000 0.500 Fe
0.000 0.500 0.000 Fe
0.000 0.000 0.000 Si

***

Fe2SiI (PBE, relaxed); formation energy from raw total energies = 0.71 eV/atom; density of states at the Fermi level = 0.64 states/eV/atom; ΔE to the lowest computed polymorph = 0 meV per atom; magnetization = 2.7 μB/cell
1.0
-2.221 -0.057 3.712
-3.779 2.086 0.292
-3.691 -2.239 0.278
Fe Si I
2 1 1
Direct
0.250 0.250 0.250 Fe
0.750 0.750 0.750 Fe
0.000 0.000 0.000 Si
0.500 0.500 0.500 I

***

Fe2SiSnI (PBE, relaxed); formation energy from raw total energies = 0.75 eV/atom; density of states at the Fermi level = 1.07 states/eV/atom; magnetization = 6.3 μB/cell
1.0
-0.440 2.699 -3.768
-4.537 -2.567 -1.308
-2.457 3.074 2.488
Fe Sn Si I
2 1 1 1
Direct
0.000 0.000 0.500 Fe
0.500 0.000 0.000 Fe
0.000 0.500 0.000 Sn
0.000 0.000 0.000 Si
0.500 0.500 0.500 I

***

FeSiTe2I (PBE, relaxed); formation energy from raw total energies = 0.74 eV/atom; density of states at the Fermi level = 1.61 states/eV/atom; ΔE to the lowest computed polymorph = 0 meV per atom; magnetization = 0.0 μB/cell
1.0
4.941 0.000 0.000
0.000 4.941 0.000
0.000 0.000 5.403
Te Si I Fe
2 1 1 1
Direct
0.500 0.000 0.000 Te
0.000 0.500 0.000 Te
0.500 0.500 0.500 Si
0.000 0.000 0.500 I
0.000 0.000 0.000 Fe

***

FeSiTe2I (PBE, relaxed); formation energy from raw total energies = 0.87 eV/atom; density of states at the Fermi level = 1.25 states/eV/atom; ΔE to the lowest computed polymorph = 124 meV per atom; magnetization = 4.0 μB/cell
1.0
-1.900 -2.338 4.348
-3.785 -2.301 -2.891
3.257 -4.264 -0.870
Te Fe Si I
2 1 1 1
Direct
0.500 0.000 0.000 Te
0.000 0.500 0.000 Te
0.500 0.500 0.500 Fe
0.000 0.000 0.000 Si
0.000 0.000 0.500 I

***

Sm2FeI (PBE, relaxed); formation energy from raw total energies = -0.32 eV/atom; density of states at the Fermi level = 1.02 states/eV/atom; magnetization = 0.8 μB/cell
1.0
3.994 0.000 0.000
1.997 3.459 0.000
1.997 1.153 8.186
Fe I Sm
1 1 2
Direct
0.000 0.000 0.000 Fe
0.500 0.500 0.500 I
0.729 0.729 0.812 Sm
0.271 0.271 0.188 Sm

***

SmFeI (PBE, relaxed); formation energy from raw total energies = -0.34 eV/atom; density of states at the Fermi level = 0.90 states/eV/atom; magnetization = 0.9 μB/cell
1.0
-2.859 -2.339 -1.092
2.509 1.318 -2.608
8.196 -9.687 5.913
I Fe Sm
2 2 2
Direct
0.323 0.482 0.153 I
0.677 0.518 0.847 I
0.649 0.816 0.483 Fe
0.351 0.184 0.517 Fe
0.154 0.983 0.319 Sm
0.846 0.017 0.681 Sm

***

Sm3Fe3I (PBE, relaxed); formation energy from raw total energies = -0.21 eV/atom; density of states at the Fermi level = 0.94 states/eV/atom; magnetization = 9.4 μB/cell
1.0
4.037 0.000 0.000
0.000 8.517 -4.917
0.000 0.000 9.835
Fe I Sm
6 2 6
Direct
0.250 0.987 0.852 Fe
0.250 0.865 0.013 Fe
0.250 0.148 0.135 Fe
0.750 0.852 0.865 Fe
0.750 0.135 0.987 Fe
0.750 0.013 0.148 Fe
0.750 0.333 0.667 I
0.250 0.667 0.333 I
0.750 0.926 0.620 Sm
0.250 0.620 0.694 Sm
0.750 0.380 0.306 Sm
0.250 0.306 0.926 Sm
0.750 0.694 0.074 Sm
0.250 0.074 0.380 Sm

***

SmFeI (PBE, relaxed); formation energy from raw total energies = -0.67 eV/atom; density of states at the Fermi level = 0.45 states/eV/atom; magnetization = 2.4 μB/cell
1.0
3.963 0.000 0.665
1.930 3.467 0.640
-0.103 -0.023 12.752
Fe I Sm
2 2 2
Direct
0.436 0.122 0.006 Fe
0.769 0.455 0.006 Fe
0.550 0.228 0.672 I
0.322 0.016 0.340 I
0.049 0.738 0.164 Sm
0.157 0.839 0.848 Sm

***

SmThFeI (PBE, relaxed); formation energy from raw total energies = -0.45 eV/atom; density of states at the Fermi level = 0.44 states/eV/atom; magnetization = 0.0 μB/cell
1.0
-2.878 -0.314 -2.788
1.143 -3.239 2.084
-4.077 2.914 6.784
I Fe Sm Th
1 1 1 1
Direct
0.971 0.384 0.370 I
0.317 0.555 0.888 Fe
0.511 0.153 0.680 Sm
0.079 0.939 0.032 Th

***

FeSnI5 (PBE, relaxed); formation energy from raw total energies = -0.27 eV/atom; density of states at the Fermi level = 0.26 states/eV/atom; magnetization = 9.8 μB/cell
1.0
7.571 0.284 -2.933
-0.886 7.525 -2.931
-0.065 -0.075 11.705
Fe I Sn
2 10 2
Direct
0.101 0.399 0.750 Fe
0.899 0.601 0.250 Fe
0.751 0.693 0.050 I
0.762 0.355 0.669 I
0.249 0.307 0.950 I
0.807 0.750 0.450 I
0.193 0.250 0.550 I
0.238 0.645 0.331 I
0.589 0.911 0.750 I
0.855 0.262 0.170 I
0.411 0.089 0.250 I
0.145 0.738 0.830 I
0.500 0.000 0.500 Sn
0.500 0.000 0.000 Sn